[1]
The following is a PBE calculation of a geometry-optimized SrSc2Tc structure, from the Alexandria database.

Its density of states at the Fermi level is 0.995 states/eV/atom. The distance to the lowest polymorph of the same formula comes out at 220 meV per atom. As for the space-group type: No. 166. For the size of the total moment, the calculation gives 0.15 μB/cell. Its final energy is -23.835 eV for the cell shown. The formation energy comes out at 219 meV per atom.

```
data_SrSc2Tc
_cell_length_a 10.3119
_cell_length_b 10.3119
_cell_length_c 10.3119
_cell_angle_alpha 19.27
_cell_angle_beta 19.27
_cell_angle_gamma 19.27
_symmetry_space_group_name_H-M 'P 1'
_symmetry_Int_Tables_number 1
loop_
_symmetry_equiv_pos_as_xyz
'x,y,z'
loop_
_atom_site_label
_atom_site_type_symbol
_atom_site_fract_x
_atom_site_fract_y
_atom_site_fract_z
_atom_site_occupancy
Sr1 Sr 0.0000 0.0000 0.0000 1
Sc1 Sc 0.2261 0.2261 0.2261 1
Sc2 Sc 0.7739 0.7739 0.7739 1
Tc1 Tc 0.5000 0.5000 0.5000 1
```



[2]
The following is a PBE calculation of a geometry-optimized SrSc2Tc structure, from the Alexandria database.

Its density of states at the Fermi level is 1.006 states/eV/atom. The distance to the lowest polymorph of the same formula comes out at 580 meV per atom. As for the space-group type: No. 12. For the size of the total moment, the calculation gives 0.00 μB/cell. Its final energy is -22.396 eV for the cell shown. The formation energy comes out at 579 meV per atom.

```
data_SrSc2Tc
_cell_length_a 6.0314
_cell_length_b 6.0314
_cell_length_c 3.1066
_cell_angle_alpha 103.58
_cell_angle_beta 103.58
_cell_angle_gamma 115.67
_symmetry_space_group_name_H-M 'P 1'
_symmetry_Int_Tables_number 1
loop_
_symmetry_equiv_pos_as_xyz
'x,y,z'
loop_
_atom_site_label
_atom_site_type_symbol
_atom_site_fract_x
_atom_site_fract_y
_atom_site_fract_z
_atom_site_occupancy
Sr1 Sr 0.0000 0.0000 0.0000 1
Sc1 Sc 0.0000 0.5000 0.5000 1
Sc2 Sc 0.5000 0.0000 0.5000 1
Tc1 Tc 0.5000 0.5000 0.0000 1
```



[3]
The following is a PBE calculation of a geometry-optimized SrScTc2 structure, from the Alexandria database.

Its density of states at the Fermi level is 1.049 states/eV/atom. The distance to the lowest polymorph of the same formula comes out at 0 meV per atom. As for the space-group type: No. 99. For the size of the total moment, the calculation gives 0.00 μB/cell. Its final energy is -27.909 eV for the cell shown. The formation energy comes out at 209 meV per atom.

```
data_SrScTc2
_cell_length_a 3.1833
_cell_length_b 3.1833
_cell_length_c 8.8053
_cell_angle_alpha 90.00
_cell_angle_beta 90.00
_cell_angle_gamma 90.00
_symmetry_space_group_name_H-M 'P 1'
_symmetry_Int_Tables_number 1
loop_
_symmetry_equiv_pos_as_xyz
'x,y,z'
loop_
_atom_site_label
_atom_site_type_symbol
_atom_site_fract_x
_atom_site_fract_y
_atom_site_fract_z
_atom_site_occupancy
Sr1 Sr 0.0000 0.0000 0.0000 1
Sc1 Sc 0.5000 0.5000 0.6200 1
Tc1 Tc 0.0000 0.0000 0.4173 1
Tc2 Tc 0.5000 0.5000 0.2710 1
```



[4]
The following is a PBE calculation of a geometry-optimized SrScTc2 structure, from the Alexandria database.

Its density of states at the Fermi level is 1.334 states/eV/atom. The distance to the lowest polymorph of the same formula comes out at 536 meV per atom. As for the space-group type: No. 12. For the size of the total moment, the calculation gives 0.00 μB/cell. Its final energy is -25.764 eV for the cell shown. The formation energy comes out at 745 meV per atom.

```
data_SrScTc2
_cell_length_a 5.5788
_cell_length_b 5.5788
_cell_length_c 2.8968
_cell_angle_alpha 99.98
_cell_angle_beta 99.98
_cell_angle_gamma 114.77
_symmetry_space_group_name_H-M 'P 1'
_symmetry_Int_Tables_number 1
loop_
_symmetry_equiv_pos_as_xyz
'x,y,z'
loop_
_atom_site_label
_atom_site_type_symbol
_atom_site_fract_x
_atom_site_fract_y
_atom_site_fract_z
_atom_site_occupancy
Sr1 Sr 0.0000 0.0000 0.0000 1
Sc1 Sc 0.5000 0.5000 0.0000 1
Tc1 Tc 0.0000 0.5000 0.5000 1
Tc2 Tc 0.5000 0.0000 0.5000 1
```



[5]
The following is a PBE calculation of a geometry-optimized SrSc2Tc structure, from the Alexandria database.

Its density of states at the Fermi level is 0.820 states/eV/atom. The distance to the lowest polymorph of the same formula comes out at 692 meV per atom. As for the space-group type: No. 166. For the size of the total moment, the calculation gives 0.00 μB/cell. Its final energy is -21.945 eV for the cell shown. The formation energy comes out at 691 meV per atom.

```
data_SrSc2Tc
_cell_length_a 11.0332
_cell_length_b 11.0332
_cell_length_c 11.0332
_cell_angle_alpha 17.39
_cell_angle_beta 17.39
_cell_angle_gamma 17.39
_symmetry_space_group_name_H-M 'P 1'
_symmetry_Int_Tables_number 1
loop_
_symmetry_equiv_pos_as_xyz
'x,y,z'
loop_
_atom_site_label
_atom_site_type_symbol
_atom_site_fract_x
_atom_site_fract_y
_atom_site_fract_z
_atom_site_occupancy
Sr1 Sr 0.0000 0.0000 0.0000 1
Sc1 Sc 0.4295 0.4295 0.4295 1
Sc2 Sc 0.5705 0.5705 0.5705 1
Tc1 Tc 0.5000 0.5000 0.5000 1
```



[6]
The following is a PBE calculation of a geometry-optimized SrSc2Tc structure, from the Alexandria database.

Its density of states at the Fermi level is 1.235 states/eV/atom. The distance to the lowest polymorph of the same formula comes out at 216 meV per atom. As for the space-group type: No. 71. For the size of the total moment, the calculation gives 0.13 μB/cell. Its final energy is -23.850 eV for the cell shown. The formation energy comes out at 215 meV per atom.

```
data_SrSc2Tc
_cell_length_a 6.2154
_cell_length_b 6.2154
_cell_length_c 6.2154
_cell_angle_alpha 148.11
_cell_angle_beta 124.33
_cell_angle_gamma 65.60
_symmetry_space_group_name_H-M 'P 1'
_symmetry_Int_Tables_number 1
loop_
_symmetry_equiv_pos_as_xyz
'x,y,z'
loop_
_atom_site_label
_atom_site_type_symbol
_atom_site_fract_x
_atom_site_fract_y
_atom_site_fract_z
_atom_site_occupancy
Sr1 Sr 0.0000 0.0000 0.0000 1
Sc1 Sc 0.3107 0.8107 0.5000 1
Sc2 Sc 0.6893 0.1893 0.5000 1
Tc1 Tc 0.5000 0.5000 0.0000 1
```